! PBE-GGA Tb2PrErAs4, relaxed; values from VASP
&SYSTEM
  ibrav = 0, nat = 8, ntyp = 4
/
ATOMIC_SPECIES
Tb 158.93 Tb.upf
Pr 140.91 Pr.upf
Er 167.26 Er.upf
As 74.92 As.upf
CELL_PARAMETERS angstrom
7.2189 0.0000 0.0000
0.0000 4.1719 0.0000
-2.4065 0.0000 6.8090
ATOMIC_POSITIONS crystal
Tb 0.0000 0.0000 0.0000
Tb 0.5000 0.5000 0.0000
Pr 0.0000 0.5000 0.5000
Er 0.5000 0.0000 0.5000
As 0.2557 0.5000 0.2490
As 0.2580 0.0000 0.7557
As 0.7420 0.0000 0.2443
As 0.7443 0.5000 0.7510
! ΔE_f   -1513 meV/atom
! Electronic total energy   -6.163 eV per atom

! PBE-GGA InGe2P, relaxed; values from VASP
&SYSTEM
  ibrav = 0, nat = 16, ntyp = 3
/
ATOMIC_SPECIES
In 114.82 In.upf
Ge 72.64 Ge.upf
P 30.97 P.upf
CELL_PARAMETERS angstrom
5.9427 0.0000 0.0000
0.0000 5.9427 0.0000
0.0000 0.0000 11.4048
ATOMIC_POSITIONS crystal
In 0.0000 0.0000 0.0000
In 0.0000 0.5000 0.2500
In 0.5000 0.0000 0.7500
In 0.5000 0.5000 0.5000
Ge 0.2148 0.2500 0.6250
Ge 0.2500 0.7148 0.8750
Ge 0.2500 0.7852 0.3750
Ge 0.2852 0.2500 0.1250
Ge 0.7148 0.7500 0.1250
Ge 0.7500 0.2148 0.3750
Ge 0.7500 0.2852 0.8750
Ge 0.7852 0.7500 0.6250
P 0.0000 0.0000 0.5000
P 0.0000 0.5000 0.7500
P 0.5000 0.0000 0.2500
P 0.5000 0.5000 0.0000
! ΔE_f   68 meV/atom
! Electronic total energy   -4.277 eV per atom

! PBE-GGA Tl2Pt4O, relaxed; values from VASP
&SYSTEM
  ibrav = 0, nat = 14, ntyp = 3
/
ATOMIC_SPECIES
Tl 204.38 Tl.upf
Pt 195.08 Pt.upf
O 16.00 O.upf
CELL_PARAMETERS angstrom
4.3164 0.0000 0.0000
0.0000 4.3164 0.0000
0.0000 0.0000 14.0823
ATOMIC_POSITIONS crystal
Tl 0.0000 0.0000 0.1547
Tl 0.0000 0.0000 0.8453
Tl 0.5000 0.5000 0.3453
Tl 0.5000 0.5000 0.6547
Pt 0.0000 0.0000 0.3427
Pt 0.0000 0.0000 0.6573
Pt 0.0000 0.5000 0.0000
Pt 0.0000 0.5000 0.5000
Pt 0.5000 0.0000 0.0000
Pt 0.5000 0.0000 0.5000
Pt 0.5000 0.5000 0.1573
Pt 0.5000 0.5000 0.8427
O 0.0000 0.0000 0.5000
O 0.5000 0.5000 0.0000
! Electronic total energy   -4.480 eV per atom
! Formation energy without anion corrections   241 kJ/mol of formula units

! PBE-GGA Sr2Mg2Tl, relaxed; values from VASP
&SYSTEM
  ibrav = 0, nat = 10, ntyp = 3
/
ATOMIC_SPECIES
Sr 87.62 Sr.upf
Mg 24.30 Mg.upf
Tl 204.38 Tl.upf
CELL_PARAMETERS angstrom
8.1527 0.0000 0.0000
0.0000 8.1527 0.0000
0.0000 0.0000 5.2073
ATOMIC_POSITIONS crystal
Sr 0.1776 0.3224 0.0000
Sr 0.3224 0.8224 0.0000
Sr 0.6776 0.1776 0.0000
Sr 0.8224 0.6776 0.0000
Mg 0.1277 0.6277 0.5000
Mg 0.3723 0.1277 0.5000
Mg 0.6277 0.8723 0.5000
Mg 0.8723 0.3723 0.5000
Tl 0.0000 0.0000 0.5000
Tl 0.5000 0.5000 0.5000
! ΔE_f   -99 meV/atom
! Electronic total energy   -1.883 eV per atom

Computed values of size of the total moment (unit: μB per cell) for the preceding records, in sequence: 0.00; 0.00; 0.00; 0.00.